Entry a
Material: Li2Mg2Ag7
Method: DFT, PBE
State: relaxed

Values from the calculation:
Its density of states at the Fermi level is 0.366 states/eV per atom. As for the theoretical density: 6.844 g/cm³. Its total moment is 0.000 μB/atom.

```
Li2Mg2Ag7
1.0
-2.3057 6.8928 3.1205
2.3057 -6.8928 3.1205
2.3057 6.8928 -3.1205
Li Mg Ag
2 2 7
direct
0.0000 0.0000 0.0000
0.7128 0.2128 0.5000
0.0260 0.2250 0.8011
0.4239 0.2250 0.1989
0.1332 0.4978 0.6354
0.3083 0.9461 0.3622
0.4428 0.4428 0.0000
0.5641 0.7296 0.8346
0.5839 0.9461 0.6378
0.8624 0.4978 0.3646
0.8950 0.7296 0.1654
```

***

Entry b
Material: Li2Mg2Ag7
Method: DFT, PBE
State: relaxed

Values from the calculation:
Its density of states at the Fermi level is 0.273 states/eV per atom. As for the theoretical density: 6.617 g/cm³. Its total moment is 0.000 μB/atom.

```
Li2Mg2Ag7
1.0
-1.5728 6.8783 4.7417
1.5728 -6.8783 4.7417
1.5728 6.8783 -4.7417
Li Mg Ag
2 2 7
direct
0.0000 0.0000 0.0000
0.7208 0.2208 0.5000
0.2989 0.9525 0.3464
0.6060 0.9525 0.6536
0.0324 0.1995 0.8330
0.1118 0.4455 0.6663
0.2478 0.7478 0.5000
0.3665 0.1995 0.1670
0.5375 0.6966 0.8409
0.7792 0.4455 0.3337
0.8558 0.6966 0.1591
```

***

Order from most stable to least stable according to the calculation: entry a, entry b

***

Entry a
Material: Li12Mg7Ag
Method: DFT, PBE
State: relaxed

Values from the calculation:
Its density of states at the Fermi level is 0.523 states/eV per atom. As for the theoretical density: 1.097 g/cm³. Its total moment is 0.000 μB/atom.

```
Li12Mg7Ag
1.0
-5.1521 5.1521 5.1521
5.1521 -5.1521 5.1521
5.1521 5.1521 -5.1521
Li Mg Ag
12 7 1
direct
0.1074 0.3564 0.7510
0.2490 0.6054 0.3564
0.2490 0.8926 0.6436
0.3564 0.2490 0.6054
0.3564 0.7510 0.1074
0.3946 0.6436 0.7510
0.6054 0.3564 0.2490
0.6436 0.2490 0.8926
0.6436 0.7510 0.3946
0.7510 0.1074 0.3564
0.7510 0.3946 0.6436
0.8926 0.6436 0.2490
0.0000 0.0000 0.5000
0.0000 0.5000 0.0000
0.0000 0.5000 0.5000
0.5000 0.0000 0.0000
0.5000 0.0000 0.5000
0.5000 0.5000 0.0000
0.5000 0.5000 0.5000
0.0000 0.0000 0.0000
```

***

Entry b
Material: Li12Mg7Ag
Method: DFT, PBE
State: relaxed

Values from the calculation:
Its density of states at the Fermi level is 0.353 states/eV per atom. As for the theoretical density: 1.477 g/cm³. Its total moment is 0.000 μB/atom.

```
Li12Mg7Ag
1.0
5.3881 3.1108 4.0378
-5.3881 3.1108 4.0378
0.0000 -6.2217 4.0378
Li Mg Ag
12 7 1
direct
0.0084 0.8752 0.3581
0.1248 0.6419 0.9916
0.2452 0.3771 0.7526
0.2474 0.7548 0.6229
0.3581 0.0084 0.8752
0.3771 0.7526 0.2452
0.6229 0.2474 0.7548
0.6419 0.9916 0.1248
0.7526 0.2452 0.3771
0.7548 0.6229 0.2474
0.8752 0.3581 0.0084
0.9916 0.1248 0.6419
0.0000 0.0000 0.0000
0.1180 0.4389 0.3491
0.3491 0.1180 0.4389
0.4389 0.3491 0.1180
0.5611 0.6509 0.8820
0.6509 0.8820 0.5611
0.8820 0.5611 0.6509
0.5000 0.5000 0.5000
```

***

Order from most stable to least stable according to the calculation: entry b, entry a

***

Entry a
Material: Li5Mg12Ag2
Method: DFT, PBE
State: relaxed

Values from the calculation:
Its density of states at the Fermi level is 0.349 states/eV per atom. As for the theoretical density: 2.210 g/cm³. Its total moment is 0.000 μB/atom.

```
Li5Mg12Ag2
1.0
6.8707 -4.1415 0.0000
6.8707 4.1415 0.0000
-0.0682 0.0000 7.1557
Li Mg Ag
5 12 2
direct
0.0000 0.0000 0.0000
0.2360 0.2360 0.0696
0.3128 0.3128 0.5045
0.6872 0.6872 0.4955
0.7640 0.7640 0.9304
0.0316 0.6607 0.2683
0.0873 0.0873 0.3808
0.1751 0.5754 0.8432
0.3393 0.9684 0.7317
0.4246 0.8249 0.1568
0.4438 0.4438 0.1863
0.5562 0.5562 0.8137
0.5754 0.1751 0.8432
0.6607 0.0316 0.2683
0.8249 0.4246 0.1568
0.9127 0.9127 0.6192
0.9684 0.3393 0.7317
0.3092 0.6908 0.5000
0.6908 0.3092 0.5000
```

***

Entry b
Material: Li5Mg12Ag2
Method: DFT, PBE
State: relaxed

Values from the calculation:
Its density of states at the Fermi level is 0.395 states/eV per atom. As for the theoretical density: 2.246 g/cm³. Its total moment is 0.000 μB/atom.

```
Li5Mg12Ag2
1.0
9.3529 -4.6771 0.0000
9.3529 4.6771 0.0000
-1.1919 0.0000 4.5802
Li Mg Ag
5 12 2
direct
0.0000 0.0000 0.0000
0.1941 0.1941 0.1944
0.2947 0.2947 0.7953
0.7053 0.7053 0.2047
0.8059 0.8059 0.8056
0.0597 0.5446 0.3023
0.0938 0.0938 0.5941
0.1785 0.6456 0.9134
0.3544 0.8215 0.0866
0.4153 0.4153 0.4182
0.4554 0.9403 0.6977
0.5446 0.0597 0.3023
0.5847 0.5847 0.5818
0.6456 0.1785 0.9134
0.8215 0.3544 0.0866
0.9062 0.9062 0.4059
0.9403 0.4554 0.6977
0.2400 0.7600 0.5000
0.7600 0.2400 0.5000
```

***

Order from most stable to least stable according to the calculation: entry b, entry a

***

Entry a
Material: Li4MgAg
Method: DFT, PBE
State: relaxed

Values from the calculation:
Its density of states at the Fermi level is 0.600 states/eV per atom. As for the theoretical density: 2.547 g/cm³. Its total moment is 0.051 μB/atom.

```
Li4MgAg
1.0
0.0000 3.7356 3.7356
3.7356 0.0000 3.7356
3.7356 3.7356 0.0000
Li Mg Ag
4 1 1
direct
0.3757 0.3757 0.3757
0.3757 0.3757 0.8730
0.3757 0.8730 0.3757
0.8730 0.3757 0.3757
0.0000 0.0000 0.0000
0.7500 0.7500 0.7500
```

***

Entry b
Material: Li4MgAg
Method: DFT, PBE
State: relaxed

Values from the calculation:
Its density of states at the Fermi level is 0.470 states/eV per atom. As for the theoretical density: 2.474 g/cm³. Its total moment is 0.000 μB/atom.

```
Li4MgAg
1.0
2.3599 -4.0359 0.0000
2.3599 4.0359 0.0000
-0.0141 0.0000 5.6362
Li Mg Ag
4 1 1
direct
0.1654 0.8323 0.7351
0.1677 0.8346 0.2649
0.8323 0.1654 0.7351
0.8346 0.1677 0.2649
0.5000 0.5000 0.0000
0.5000 0.5000 0.5000
```

***

Order from most stable to least stable according to the calculation: entry b, entry a

***

Entry a
Material: LiMgAg6
Method: DFT, PBE
State: relaxed

Values from the calculation:
Its density of states at the Fermi level is 0.210 states/eV per atom. As for the theoretical density: 8.035 g/cm³. Its total moment is 0.000 μB/atom.

```
LiMgAg6
1.0
4.1190 0.0000 0.0000
0.0000 4.1190 0.0000
0.0000 0.0000 8.2642
Li Mg Ag
1 1 6
direct
0.0000 0.0000 0.0000
0.0000 0.0000 0.5000
0.0000 0.5000 0.2451
0.0000 0.5000 0.7549
0.5000 0.0000 0.2451
0.5000 0.0000 0.7549
0.5000 0.5000 0.0000
0.5000 0.5000 0.5000
```

***

Entry b
Material: LiMgAg6
Method: DFT, PBE
State: relaxed

Values from the calculation:
Its density of states at the Fermi level is 0.407 states/eV per atom. As for the theoretical density: 7.053 g/cm³. Its total moment is 0.000 μB/atom.

```
LiMgAg6
1.0
4.0725 -2.7720 0.0000
4.0725 2.7720 0.0000
-2.1973 0.0000 7.0750
Li Mg Ag
1 1 6
direct
0.0000 0.0000 0.0000
0.5000 0.5000 0.5000
0.0441 0.5536 0.1959
0.1371 0.1371 0.4294
0.4464 0.9559 0.8041
0.5536 0.0441 0.1959
0.8629 0.8629 0.5706
0.9559 0.4464 0.8041
```

***

Order from most stable to least stable according to the calculation: entry a, entry b

***

Entry a
Material: Li7Mg2Ag2
Method: DFT, PBE
State: relaxed

Values from the calculation:
Its density of states at the Fermi level is 0.296 states/eV per atom. As for the theoretical density: 2.583 g/cm³. Its total moment is 0.000 μB/atom.

```
Li7Mg2Ag2
1.0
5.0335 0.0000 0.0000
-0.8854 6.4860 0.0000
-1.8051 -2.2204 6.1621
Li Mg Ag
7 2 2
direct
0.0000 0.0000 0.0000
0.1757 0.6273 0.7161
0.2608 0.4572 0.0875
0.4404 0.0898 0.8154
0.5596 0.9102 0.1846
0.7392 0.5428 0.9125
0.8243 0.3727 0.2839
0.3656 0.2525 0.4596
0.6344 0.7475 0.5404
0.0791 0.8063 0.3487
0.9209 0.1937 0.6513
```

***

Entry b
Material: Li7Mg2Ag2
Method: DFT, PBE
State: relaxed

Values from the calculation:
Its density of states at the Fermi level is 0.329 states/eV per atom. As for the theoretical density: 2.462 g/cm³. Its total moment is 0.000 μB/atom.

```
Li7Mg2Ag2
1.0
3.5500 -4.2142 0.0000
3.5500 4.2142 0.0000
-1.7280 0.0000 7.0530
Li Mg Ag
7 2 2
direct
0.0000 0.0000 0.0000
0.1018 0.4778 0.8247
0.1426 0.1426 0.4018
0.4778 0.1018 0.8247
0.5222 0.8982 0.1753
0.8574 0.8574 0.5982
0.8982 0.5222 0.1753
0.3134 0.6866 0.5000
0.6866 0.3134 0.5000
0.3909 0.3909 0.1572
0.6091 0.6091 0.8428
```

***

Order from most stable to least stable according to the calculation: entry a, entry b

***

Entry a
Material: Li2MgAg6
Method: DFT, PBE
State: relaxed

Values from the calculation:
Its density of states at the Fermi level is 0.338 states/eV per atom. As for the theoretical density: 7.344 g/cm³. Its total moment is 0.000 μB/atom.

```
Li2MgAg6
1.0
4.9979 -2.2655 0.0000
4.9979 2.2655 0.0000
-1.5155 0.0000 6.8439
Li Mg Ag
2 1 6
direct
0.2289 0.2289 0.3344
0.7711 0.7711 0.6656
0.0000 0.0000 0.0000
0.1179 0.1179 0.6605
0.3348 0.3348 0.0064
0.4343 0.4343 0.6597
0.5657 0.5657 0.3403
0.6652 0.6652 0.9936
0.8821 0.8821 0.3395
```

***

Entry b
Material: Li2MgAg6
Method: DFT, PBE
State: relaxed

Values from the calculation:
Its density of states at the Fermi level is 0.280 states/eV per atom. As for the theoretical density: 7.087 g/cm³. Its total moment is 0.000 μB/atom.

```
Li2MgAg6
1.0
7.2893 -3.9070 0.0000
7.2893 3.9070 0.0000
-0.5325 0.0000 2.8193
Li Mg Ag
2 1 6
direct
0.1669 0.1669 0.1670
0.8331 0.8331 0.8330
0.5000 0.5000 0.5000
0.1430 0.5200 0.3304
0.1820 0.8180 0.0000
0.4800 0.8570 0.6696
0.5200 0.1430 0.3304
0.8180 0.1820 0.0000
0.8570 0.4800 0.6696
```

***

Order from most stable to least stable according to the calculation: entry a, entry b

***

Entry a
Material: Li8Mg2Ag3
Method: DFT, PBE
State: relaxed

Values from the calculation:
Its density of states at the Fermi level is 0.373 states/eV per atom. As for the theoretical density: 2.775 g/cm³. Its total moment is 0.000 μB/atom.

```
Li8Mg2Ag3
1.0
6.0555 -3.7479 0.0000
6.0555 3.7479 0.0000
-1.9902 0.0000 5.6389
Li Mg Ag
8 2 3
direct
0.0781 0.7022 0.3193
0.0923 0.0923 0.2225
0.2978 0.9219 0.6807
0.3189 0.3189 0.6208
0.6811 0.6811 0.3792
0.7022 0.0781 0.3193
0.9077 0.9077 0.7775
0.9219 0.2978 0.6807
0.2966 0.2966 0.0739
0.7034 0.7034 0.9261
0.3123 0.6877 0.0000
0.5000 0.5000 0.5000
0.6877 0.3123 0.0000
```

***

Entry b
Material: Li8Mg2Ag3
Method: DFT, PBE
State: relaxed

Values from the calculation:
Its density of states at the Fermi level is 0.359 states/eV per atom. As for the theoretical density: 3.020 g/cm³. Its total moment is 0.000 μB/atom.

```
Li8Mg2Ag3
1.0
5.2815 -4.8019 0.0000
5.2815 4.8019 0.0000
-2.2071 0.0000 4.6365
Li Mg Ag
8 2 3
direct
0.0715 0.0715 0.2711
0.0962 0.5925 0.8371
0.3651 0.3651 0.4333
0.4075 0.9038 0.1629
0.5925 0.0962 0.8371
0.6349 0.6349 0.5667
0.9038 0.4075 0.1629
0.9285 0.9285 0.7289
0.2049 0.2049 0.8418
0.7951 0.7951 0.1582
0.2322 0.7678 0.5000
0.5000 0.5000 0.0000
0.7678 0.2322 0.5000
```

***

Order from most stable to least stable according to the calculation: entry b, entry a